Entry 1:
Ac4FePb2 | PBE-GGA | relaxed

SG ... No. 139
Total moment ... 0.00 μB/cell
ρ ... 9.1 g/cm3
Crystal system ... tetragonal

Unit cell a=5.2805 b=5.2805 c=9.7912 alpha=105.64 beta=105.64 gamma=90.00
Last column: nearest neighbours and their distance in Å.
Element x y z (fractional)
Pb (0.6405, 0.6405, 0.2811)  9 Ac 3.41-3.78
Pb (0.3595, 0.3595, 0.7189)  9 Ac 3.41-3.78
Ac (0.8287, 0.8287, 0.6573)  1 Fe 3.10, 1 Pb 3.41
Ac (0.1713, 0.1713, 0.3427)  1 Fe 3.10, 1 Pb 3.41
Ac (0.0000, 0.5000, 0.0000)  2 Fe 2.64
Ac (0.5000, 0.0000, 0.0000)  2 Fe 2.64
Fe (0.0000, 0.0000, 0.0000)  4 Ac 2.64

Entry 2:
Ac2FePb | PBE-GGA | relaxed

SG ... No. 166
Total moment ... 1.51 μB/cell
ρ ... 8.9 g/cm3
Crystal system ... trigonal

Unit cell a=3.7275 b=3.7275 c=11.2704 alpha=80.48 beta=80.48 gamma=60.00
Last column: nearest neighbours and their distance in Å.
Element x y z (fractional)
Pb (0.5000, 0.5000, 0.5000)  6 Ac 3.60, 6 Pb 3.73
Ac (0.0798, 0.0798, 0.7606)  1 Fe 2.65
Ac (0.9202, 0.9202, 0.2394)  1 Fe 2.65
Fe (0.0000, 0.0000, 0.0000)  2 Ac 2.65

Quick rundown of N(E_F), same order as above: 0.77, 1.21 states/eV/atom
Quick rundown of DFT formation energy, same order as above: -0.241, 0.598 eV/atom